# 1
Here is PtW after structural relaxation from Alexandria. Energies are from GGA-PBEsol.

a = 2.689 Å, b = 4.314 Å, c = 5.410 Å
α = 90.00°, β = 104.39°, γ = 90.00°
Element x y z (fractional)
W: 0.830 0.750 0.660
W: 0.170 0.250 0.340
Pt: 0.572 0.750 0.144
Pt: 0.428 0.250 0.856

space group	Cmcm
calculated formation energy	-0.19	eV/atom

# 2
Here is Pt3W after structural relaxation from Alexandria. Energies are from GGA-PBEsol.

a = 2.751 Å, b = 2.751 Å, c = 7.944 Å
α = 90.00°, β = 90.00°, γ = 90.00°
Element x y z (fractional)
W: 0.500 0.500 0.000
Pt: 0.000 0.000 0.760
Pt: 0.000 0.000 0.240
Pt: 0.500 0.500 0.500

space group	P4/mmm
calculated formation energy	-0.25	eV/atom

# 3
Here is Pt3W after structural relaxation from Alexandria. Energies are from GGA-PBEsol.

a = 3.872 Å, b = 3.872 Å, c = 4.840 Å
α = 113.57°, β = 113.57°, γ = 90.00°
Element x y z (fractional)
W: 0.000 0.000 0.000
Pt: 0.250 0.750 0.500
Pt: 0.750 0.250 0.500
Pt: 0.500 0.500 0.000

space group	I4/mmm
calculated formation energy	-0.27	eV/atom

# 4
Here is PtW after structural relaxation from Alexandria. Energies are from GGA-PBEsol.

a = 3.976 Å, b = 3.976 Å, c = 5.197 Å
α = 90.00°, β = 90.00°, γ = 120.00°
Element x y z (fractional)
Pt: 0.667 0.333 0.750
Pt: 0.333 0.667 0.250
W: 0.000 0.000 0.000
W: 0.000 0.000 0.500

space group	P6_3/mmc
calculated formation energy	0.55	eV/atom

# 5
Here is Pt5W after structural relaxation from Alexandria. Energies are from GGA-PBEsol.

a = 3.899 Å, b = 3.949 Å, c = 6.178 Å
α = 90.00°, β = 108.40°, γ = 90.00°
Element x y z (fractional)
W: 0.000 0.000 0.000
Pt: 0.163 0.500 0.327
Pt: 0.342 0.000 0.683
Pt: 0.500 0.500 0.000
Pt: 0.658 0.000 0.317
Pt: 0.837 0.500 0.673

space group	Cmmm
calculated formation energy	-0.21	eV/atom

# 6
Here is Pt5W after structural relaxation from Alexandria. Energies are from GGA-PBEsol.

a = 4.529 Å, b = 4.791 Å, c = 4.791 Å
α = 120.00°, β = 90.00°, γ = 90.00°
Element x y z (fractional)
W: 0.500 0.000 0.000
Pt: 0.000 0.328 0.328
Pt: 0.000 0.672 0.000
Pt: 0.000 0.000 0.672
Pt: 0.500 0.333 0.667
Pt: 0.500 0.667 0.333

space group	P-62m
calculated formation energy	-0.19	eV/atom

# 7
Here is PtW after structural relaxation from Alexandria. Energies are from GGA-PBEsol.

a = 2.722 Å, b = 5.332 Å, c = 6.682 Å
α = 103.99°, β = 90.00°, γ = 104.79°
Element x y z (fractional)
W: 0.665 0.329 0.329
W: 0.050 0.101 0.614
W: 0.728 0.457 0.945
Pt: 0.008 0.017 0.003
Pt: 0.386 0.772 0.279
Pt: 0.329 0.658 0.662

space group	Cm
calculated formation energy	-0.21	eV/atom

# 8
Here is PtW4 after structural relaxation from Alexandria. Energies are from GGA-PBEsol.

a = 5.009 Å, b = 5.009 Å, c = 5.009 Å
α = 109.47°, β = 109.47°, γ = 109.47°
Element x y z (fractional)
Pt: 0.000 0.000 0.000
W: 0.000 0.000 0.500
W: 0.000 0.500 0.000
W: 0.500 0.000 0.000
W: 0.500 0.500 0.500

space group	Im-3m
calculated formation energy	1.73	eV/atom

# 9
Here is PtW after structural relaxation from Alexandria. Energies are from GGA-PBEsol.

a = 2.733 Å, b = 4.900 Å, c = 5.290 Å
α = 116.79°, β = 104.97°, γ = 90.00°
Element x y z (fractional)
W: 0.625 0.784 0.250
W: 0.375 0.216 0.750
Pt: 0.120 0.292 0.239
Pt: 0.880 0.708 0.761

space group	C2/m
calculated formation energy	-0.20	eV/atom

# 10
Here is PtW after structural relaxation from Alexandria. Energies are from GGA-PBEsol.

a = 3.300 Å, b = 3.300 Å, c = 5.656 Å
α = 90.00°, β = 90.00°, γ = 90.00°
Element x y z (fractional)
Pt: 0.500 0.000 0.873
Pt: 0.000 0.500 0.127
W: 0.500 0.000 0.365
W: 0.000 0.500 0.635

space group	P4/nmm
calculated formation energy	-0.07	eV/atom

# 11
Here is Pt3W after structural relaxation from Alexandria. Energies are from GGA-PBEsol.

a = 2.764 Å, b = 4.788 Å, c = 4.807 Å
α = 99.61°, β = 106.70°, γ = 90.00°
Element x y z (fractional)
W: 0.000 0.500 0.000
Pt: 0.253 0.257 0.506
Pt: 0.747 0.743 0.494
Pt: 0.500 0.000 0.000

space group	C2/m
calculated formation energy	-0.23	eV/atom

# 12
Here is Pt3W after structural relaxation from Alexandria. Energies are from GGA-PBEsol.

a = 2.764 Å, b = 3.941 Å, c = 5.505 Å
α = 90.00°, β = 90.00°, γ = 90.00°
Element x y z (fractional)
W: 0.500 0.500 0.000
Pt: 0.000 0.000 0.758
Pt: 0.000 0.000 0.242
Pt: 0.500 0.500 0.500

space group	Pmmm
calculated formation energy	-0.26	eV/atom

# 13
Here is YPtW2 after structural relaxation from Alexandria. Energies are from GGA-PBEsol.

a = 4.610 Å, b = 4.610 Å, c = 4.610 Å
α = 60.00°, β = 60.00°, γ = 60.00°
Element x y z (fractional)
Pt: 0.500 0.500 0.500
W: 0.000 0.000 0.000
W: 0.750 0.750 0.750
Y: 0.250 0.250 0.250

space group	F-43m
calculated formation energy	0.10	eV/atom

# 14
Here is Y2PtW after structural relaxation from Alexandria. Energies are from GGA-PBEsol.

a = 3.304 Å, b = 3.572 Å, c = 6.952 Å
α = 90.00°, β = 90.00°, γ = 90.00°
Element x y z (fractional)
Pt: 0.500 0.500 0.000
W: 0.500 0.500 0.500
Y: 0.000 0.000 0.758
Y: 0.000 0.000 0.242

space group	Pmmm
calculated formation energy	-0.14	eV/atom

# 15
Here is YPtW2 after structural relaxation from Alexandria. Energies are from GGA-PBEsol.

a = 2.982 Å, b = 4.763 Å, c = 5.368 Å
α = 104.17°, β = 106.13°, γ = 90.00°
Element x y z (fractional)
Pt: 0.500 0.000 0.000
W: 0.233 0.226 0.467
W: 0.767 0.774 0.533
Y: 0.000 0.500 0.000

space group	C2/m
calculated formation energy	0.14	eV/atom

# 16
Here is YPt2W after structural relaxation from Alexandria. Energies are from GGA-PBEsol.

a = 2.866 Å, b = 4.782 Å, c = 5.835 Å
α = 114.19°, β = 104.22°, γ = 90.00°
Element x y z (fractional)
Pt: 0.019 0.019 0.038
Pt: 0.754 0.254 0.508
W: 0.475 0.475 0.949
Y: 0.253 0.753 0.506

space group	Imm2
calculated formation energy	-0.21	eV/atom

# 17
Here is YPt2W after structural relaxation from Alexandria. Energies are from GGA-PBEsol.

a = 2.900 Å, b = 2.900 Å, c = 9.650 Å
α = 81.36°, β = 81.36°, γ = 60.00°
Element x y z (fractional)
Pt: 0.004 0.004 0.988
Pt: 0.752 0.752 0.745
W: 0.492 0.492 0.525
Y: 0.253 0.253 0.242

space group	R3m
calculated formation energy	0.11	eV/atom

# 18
Here is Y2PtW after structural relaxation from Alexandria. Energies are from GGA-PBEsol.

a = 4.091 Å, b = 4.091 Å, c = 5.649 Å
α = 111.23°, β = 111.23°, γ = 90.00°
Element x y z (fractional)
Pt: 0.500 0.500 0.000
W: 0.250 0.750 0.500
Y: 0.000 0.000 0.000
Y: 0.750 0.250 0.500

space group	I-4m2
calculated formation energy	0.07	eV/atom

# 19
Here is YPtW2 after structural relaxation from Alexandria. Energies are from GGA-PBEsol.

a = 3.242 Å, b = 3.242 Å, c = 6.857 Å
α = 90.00°, β = 90.00°, γ = 90.00°
Element x y z (fractional)
Pt: 0.500 0.500 0.776
W: 0.000 0.000 0.014
W: 0.500 0.500 0.208
Y: 0.000 0.000 0.502

space group	P4mm
calculated formation energy	0.00	eV/atom

# 20
Here is Y2PtW after structural relaxation from Alexandria. Energies are from GGA-PBEsol.

a = 3.184 Å, b = 3.184 Å, c = 9.959 Å
α = 80.80°, β = 80.80°, γ = 60.00°
Element x y z (fractional)
Pt: 0.509 0.509 0.474
W: 0.241 0.241 0.278
Y: 0.988 0.988 0.035
Y: 0.762 0.762 0.713

space group	R3m
calculated formation energy	0.30	eV/atom